# 1
Below is crystalline Tl2OsW at its relaxed geometry, with properties calculated at the GGA-PBEsol level.

Properties
**ΔH_f (0 K)**: 1.1774 eV/atom
**DOS at the Fermi energy**: 0.836 states/eV per atom
**Space group**: I-4m2
**Total energy**: -26.6 eV per formula unit
**M_tot**: 0.01 μB/cell
**Energy above the most stable polymorph in this dataset**: 0.710 eV per atom

a = 4.144 Å, b = 4.144 Å, c = 8.403 Å
α = 90.00°, β = 90.00°, γ = 90.00°
Fractional coordinates of all 8 atoms:
Tl  0.000  0.000  0.000
Tl  0.000  0.500  0.250
Tl  0.500  0.000  0.750
Tl  0.500  0.500  0.500
Os  0.000  0.500  0.750
Os  0.500  0.000  0.250
W  0.000  0.000  0.500
W  0.500  0.500  0.000

=====

# 2
Below is crystalline TlOs2W at its relaxed geometry, with properties calculated at the GGA-PBEsol level.

Properties
**ΔH_f (0 K)**: 0.7571 eV/atom
**DOS at the Fermi energy**: 0.955 states/eV per atom
**Space group**: Cmmm
**Total energy**: -37.8 eV per formula unit
**M_tot**: 0.00 μB/cell
**Energy above the most stable polymorph in this dataset**: 0.000 eV per atom

a = 2.953 Å, b = 4.769 Å, c = 9.449 Å
α = 90.00°, β = 90.00°, γ = 90.00°
Fractional coordinates of all 8 atoms:
Tl  0.000  0.000  0.000
Tl  0.500  0.500  0.000
Os  0.000  0.500  0.273
Os  0.000  0.500  0.727
Os  0.500  0.000  0.273
Os  0.500  0.000  0.727
W  0.000  0.000  0.500
W  0.500  0.500  0.500

=====

# 3
Below is crystalline YTlOs2 at its relaxed geometry, with properties calculated at the GGA-PBEsol level.

Properties
**ΔH_f (0 K)**: 0.4897 eV/atom
**DOS at the Fermi energy**: 0.449 states/eV per atom
**Space group**: P2/m
**Total energy**: -31.9 eV per formula unit
**M_tot**: 0.00 μB/cell
**Energy above the most stable polymorph in this dataset**: 0.141 eV per atom

a = 3.133 Å, b = 4.544 Å, c = 5.647 Å
α = 90.00°, β = 94.34°, γ = 90.00°
Fractional coordinates of all 4 atoms:
Y  0.000  0.000  0.000
Tl  0.500  0.000  0.500
Os  0.451  0.500  0.794
Os  0.549  0.500  0.206

=====

# 4
Below is crystalline YTlOs2 at its relaxed geometry, with properties calculated at the GGA-PBEsol level.

Properties
**ΔH_f (0 K)**: 0.5823 eV/atom
**DOS at the Fermi energy**: 1.627 states/eV per atom
**Space group**: I4/mmm
**Total energy**: -31.6 eV per formula unit
**M_tot**: 0.01 μB/cell
**Energy above the most stable polymorph in this dataset**: 0.233 eV per atom

a = 4.212 Å, b = 4.212 Å, c = 8.183 Å
α = 90.00°, β = 90.00°, γ = 90.00°
Fractional coordinates of all 8 atoms:
Y  0.000  0.000  0.000
Y  0.500  0.500  0.500
Tl  0.000  0.000  0.500
Tl  0.500  0.500  0.000
Os  0.000  0.500  0.250
Os  0.000  0.500  0.750
Os  0.500  0.000  0.250
Os  0.500  0.000  0.750

=====

# 5
Below is crystalline YTlOs2 at its relaxed geometry, with properties calculated at the GGA-PBEsol level.

Properties
**ΔH_f (0 K)**: 0.6099 eV/atom
**DOS at the Fermi energy**: 0.920 states/eV per atom
**Space group**: Pmmm
**Total energy**: -31.4 eV per formula unit
**M_tot**: 0.00 μB/cell
**Energy above the most stable polymorph in this dataset**: 0.261 eV per atom

a = 3.332 Å, b = 4.436 Å, c = 4.900 Å
α = 90.00°, β = 90.00°, γ = 90.00°
Fractional coordinates of all 4 atoms:
Y  0.000  0.000  0.000
Tl  0.500  0.000  0.500
Os  0.000  0.500  0.500
Os  0.500  0.500  0.000

=====

# 6
Below is crystalline YTlOs2 at its relaxed geometry, with properties calculated at the GGA-PBEsol level.

Properties
**ΔH_f (0 K)**: 0.5746 eV/atom
**DOS at the Fermi energy**: 1.357 states/eV per atom
**Space group**: P4/mmm
**Total energy**: -31.6 eV per formula unit
**M_tot**: 0.00 μB/cell
**Energy above the most stable polymorph in this dataset**: 0.225 eV per atom

a = 3.416 Å, b = 3.416 Å, c = 6.285 Å
α = 90.00°, β = 90.00°, γ = 90.00°
Fractional coordinates of all 4 atoms:
Y  0.000  0.000  0.000
Tl  0.000  0.000  0.500
Os  0.500  0.500  0.268
Os  0.500  0.500  0.732

=====

# 7
Below is crystalline YTlOs2 at its relaxed geometry, with properties calculated at the GGA-PBEsol level.

Properties
**ΔH_f (0 K)**: 0.6497 eV/atom
**DOS at the Fermi energy**: 1.093 states/eV per atom
**Space group**: Immm
**Total energy**: -31.3 eV per formula unit
**M_tot**: 0.00 μB/cell
**Energy above the most stable polymorph in this dataset**: 0.301 eV per atom

a = 3.230 Å, b = 4.922 Å, c = 9.177 Å
α = 90.00°, β = 90.00°, γ = 90.00°
Fractional coordinates of all 8 atoms:
Y  0.000  0.000  0.000
Y  0.500  0.500  0.500
Tl  0.000  0.000  0.500
Tl  0.500  0.500  0.000
Os  0.000  0.500  0.248
Os  0.000  0.500  0.752
Os  0.500  0.000  0.252
Os  0.500  0.000  0.748

=====

# 8
Below is crystalline YTlOs2 at its relaxed geometry, with properties calculated at the GGA-PBEsol level.

Properties
**ΔH_f (0 K)**: 0.3491 eV/atom
**DOS at the Fermi energy**: 0.373 states/eV per atom
**Space group**: Cm
**Total energy**: -32.5 eV per formula unit
**M_tot**: 0.00 μB/cell
**Energy above the most stable polymorph in this dataset**: 0.000 eV per atom

a = 10.574 Å, b = 3.026 Å, c = 4.989 Å
α = 90.00°, β = 112.43°, γ = 90.00°
Fractional coordinates of all 8 atoms:
Y  0.000  0.000  0.000
Y  0.500  0.500  0.000
Tl  0.289  0.500  0.371
Tl  0.789  0.000  0.371
Os  0.039  0.500  0.513
Os  0.235  0.000  0.848
Os  0.539  0.000  0.513
Os  0.735  0.500  0.848

=====

# 9
Below is crystalline TlZnOs3 at its relaxed geometry, with properties calculated at the GGA-PBEsol level.

Properties
**ΔH_f (0 K)**: 2.1169 eV/atom
**DOS at the Fermi energy**: 1.087 states/eV per atom
**Space group**: Pm-3m
**Total energy**: -30.3 eV per formula unit
**M_tot**: 2.33 μB/cell

a = 4.492 Å, b = 4.492 Å, c = 4.492 Å
α = 90.00°, β = 90.00°, γ = 90.00°
Fractional coordinates of all 5 atoms:
Tl  0.000  0.000  0.000
Zn  0.500  0.500  0.500
Os  0.000  0.500  0.500
Os  0.500  0.000  0.500
Os  0.500  0.500  0.000

=====

# 10
Below is crystalline ZrTlOs2 at its relaxed geometry, with properties calculated at the GGA-PBEsol level.

Properties
**ΔH_f (0 K)**: 0.1752 eV/atom
**DOS at the Fermi energy**: 0.336 states/eV per atom
**Space group**: P4mm
**Total energy**: -35.5 eV per formula unit
**M_tot**: 0.00 μB/cell
**Energy above the most stable polymorph in this dataset**: 0.000 eV per atom

a = 2.895 Å, b = 2.895 Å, c = 8.349 Å
α = 90.00°, β = 90.00°, γ = 90.00°
Fractional coordinates of all 4 atoms:
Zr  0.000  0.000  0.000
Tl  0.500  0.500  0.707
Os  0.000  0.000  0.450
Os  0.500  0.500  0.259

=====

# 11
Below is crystalline ZrTlOs2 at its relaxed geometry, with properties calculated at the GGA-PBEsol level.

Properties
**ΔH_f (0 K)**: 0.4370 eV/atom
**DOS at the Fermi energy**: 0.804 states/eV per atom
**Space group**: Immm
**Total energy**: -34.4 eV per formula unit
**M_tot**: 0.00 μB/cell
**Energy above the most stable polymorph in this dataset**: 0.262 eV per atom

a = 3.207 Å, b = 4.837 Å, c = 8.949 Å
α = 90.00°, β = 90.00°, γ = 90.00°
Fractional coordinates of all 8 atoms:
Zr  0.000  0.000  0.000
Zr  0.500  0.500  0.500
Tl  0.000  0.000  0.500
Tl  0.500  0.500  0.000
Os  0.000  0.500  0.259
Os  0.000  0.500  0.741
Os  0.500  0.000  0.241
Os  0.500  0.000  0.759

=====

# 12
Below is crystalline ZrTlOs2 at its relaxed geometry, with properties calculated at the GGA-PBEsol level.

Properties
**ΔH_f (0 K)**: 0.2214 eV/atom
**DOS at the Fermi energy**: 0.545 states/eV per atom
**Space group**: Pmm2
**Total energy**: -35.3 eV per formula unit
**M_tot**: 0.00 μB/cell
**Energy above the most stable polymorph in this dataset**: 0.046 eV per atom

a = 2.860 Å, b = 3.781 Å, c = 6.732 Å
α = 90.00°, β = 90.00°, γ = 90.00°
Fractional coordinates of all 4 atoms:
Zr  0.000  0.000  0.000
Tl  0.500  0.500  0.690
Os  0.000  0.000  0.407
Os  0.500  0.500  0.255

=====

# 13
Below is crystalline VOs at its relaxed geometry, with properties calculated at the GGA-PBEsol level.

Properties
**ΔH_f (0 K)**: -0.2304 eV/atom
**DOS at the Fermi energy**: 1.231 states/eV per atom
**Space group**: Pm-3m
**Total energy**: -22.3 eV per formula unit
**M_tot**: 0.00 μB/cell

a = 2.989 Å, b = 2.989 Å, c = 2.989 Å
α = 90.00°, β = 90.00°, γ = 90.00°
Fractional coordinates of all 2 atoms:
V  0.000  0.000  0.000
Os  0.500  0.500  0.500